Entry 1:
An optimized crystal structure of Mn8Re3Tc, computed with PBE-GGA.

Cell: 4.6605 4.6605 7.6492 Å, 90.00 90.00 120.00°
Closest atoms and distances in Å follow each position.
Fractional coordinates of all 12 atoms:
Mn 0.1596 0.8404 0.2501  6 Mn 2.23-2.43
Re 0.0000 0.0000 0.9325  12 Mn 2.72-2.75, 1 Tc 2.78, 3 Re 2.88
Mn 0.3333 0.6667 0.4999  6 Mn 2.37
Re 0.6667 0.3333 0.4322  12 Mn 2.72-2.75, 1 Re 2.79, 3 Tc 2.89
Re 0.6667 0.3333 0.0677  12 Mn 2.72-2.75, 4 Re 2.79-2.88
Tc 0.0000 0.0000 0.5687  12 Mn 2.71-2.76, 4 Re 2.78-2.89
Mn 0.9857 0.4928 0.7496  6 Mn 2.23-2.43
Mn 0.1596 0.3192 0.2501  6 Mn 2.23-2.43
Mn 0.5072 0.4928 0.7496  6 Mn 2.23-2.43
Mn 0.5072 0.0143 0.7496  6 Mn 2.23-2.43
Mn 0.6808 0.8404 0.2501  6 Mn 2.23-2.43
Mn 0.3333 0.6667 0.9998  6 Mn 2.37

Summary:
Symmetry: P3m1 (156)
D(E_F): 8.0 states/eV/f.u.
Calculated formation energy: -0.113 eV per atom
Final energy: -10.20 eV/atom

Entry 2:
An optimized crystal structure of Cd2Ga4Pb, computed with PBE-GGA.

Cell: 5.9178 6.3386 8.9913 Å, 110.64 92.66 90.00°
Closest atoms and distances in Å follow each position.
Fractional coordinates of all 14 atoms:
Ga 0.2250 0.2122 0.8465  3 Ga 2.59-2.86, 1 Cd 2.81
Cd 0.8262 0.2129 0.6215  6 Ga 2.81-3.08
Pb 0.2500 0.8011 0.0000  12 Ga 3.20-3.50, 2 Cd 3.49
Cd 0.6738 0.5914 0.3785  6 Ga 2.81-3.08
Pb 0.7500 0.1989 0.0000  12 Ga 3.20-3.50, 2 Cd 3.49
Ga 0.4907 0.8774 0.6737  4 Ga 2.70-3.00, 2 Cd 2.89-3.00
Cd 0.3262 0.4086 0.6215  6 Ga 2.81-3.08
Ga 0.2750 0.3657 0.1535  3 Ga 2.59-2.86, 1 Cd 2.81
Cd 0.1738 0.7871 0.3785  6 Ga 2.81-3.08
Ga 0.7250 0.6343 0.8465  3 Ga 2.59-2.86, 1 Cd 2.81
Ga 0.7750 0.7878 0.1535  3 Ga 2.59-2.86, 1 Cd 2.81
Ga 0.9907 0.7964 0.6737  4 Ga 2.70-3.00, 2 Cd 2.89-3.00
Ga 0.0093 0.2036 0.3263  4 Ga 2.70-3.00, 2 Cd 2.89-3.00
Ga 0.5093 0.1226 0.3263  4 Ga 2.70-3.00, 2 Cd 2.89-3.00

Summary:
Symmetry: C2/c (15)
D(E_F): 2.5 states/eV/f.u.
Calculated formation energy: 0.058 eV per atom
Final energy: -2.46 eV/atom

Entry 3:
An optimized crystal structure of ZrSc2Ge, computed with PBE-GGA.

Cell: 10.3745 10.3745 10.3745 Å, 17.65 17.65 17.65°
Closest atoms and distances in Å follow each position.
Fractional coordinates of all 4 atoms:
Zr 0.0000 0.0000 0.0000  2 Sc 3.00, 6 Zr 3.18
Sc 0.0978 0.0978 0.0978  3 Ge 2.80, 1 Zr 3.00
Sc 0.9022 0.9022 0.9022  3 Ge 2.80, 1 Zr 3.00
Ge 0.5000 0.5000 0.5000  6 Sc 2.80

Summary:
Symmetry: R-3m (166)
D(E_F): 3.2 states/eV/f.u.
Calculated formation energy: 0.015 eV per atom
Final energy: -6.44 eV/atom

Entry 4:
An optimized crystal structure of CrHAu2, computed with PBE-GGA.

Cell: 6.5458 6.5458 5.3492 Å, 52.28 52.28 90.00°
Closest atoms and distances in Å follow each position.
Fractional coordinates of all 8 atoms:
Au 0.5352 0.1250 0.2500  2 H 2.06
H 0.2500 0.7500 0.5000  4 Au 2.06
Au 0.3750 0.4648 0.7500  2 H 2.06
Cr 0.7500 0.2500 0.5000  2 H 2.68, 8 Au 2.80-2.84
H 0.5000 0.5000 0.0000  4 Au 2.06
Au 0.2148 0.6250 0.2500  2 H 2.06
Au 0.8750 0.7852 0.7500  2 H 2.06
Cr 0.0000 0.0000 0.0000  2 H 2.68, 8 Au 2.80-2.84

Summary:
Symmetry: I-42d (122)
Offset from the most stable computed form: 0.0000 eV/atom
D(E_F): 2.2 states/eV/f.u.
Final energy: -4.51 eV/atom

Entry 5:
An optimized crystal structure of HgRuBr2, computed with PBE-GGA.

Cell: 8.6406 6.5687 3.4083 Å, 58.37 113.77 139.66°
Closest atoms and distances in Å follow each position.
Fractional coordinates of all 4 atoms:
Br 0.5000 0.0000 0.5000  2 Hg 2.80, 2 Ru 2.80
Ru 0.5000 0.5000 0.0000  4 Br 2.80
Br 0.0000 0.0000 0.0000  2 Ru 2.80, 2 Hg 2.80
Hg 0.0000 0.5000 0.5000  4 Br 2.80

Summary:
Symmetry: C2/m (12)
Offset from the most stable computed form: 0.6750 eV/atom
D(E_F): 3.2 states/eV/f.u.
Final energy: -2.59 eV/atom
Uncorrected formation energy: 0.64 eV per atom